A plane-wave DFT calculation with PBE-GGA was carried out for a relaxed structure of Ho2ScAg.

Values from the calculation:
- Energy above the lowest structure with this stoichiometry: 144 meV/atom
- Final energy: -4.56 eV/atom
- SG: Fm-3m, No. 225
- Magnetization: 0.00 μB/f.u.

```
Ho2ScAg
1.0
0.000 3.707 3.707
3.707 0.000 3.707
3.707 3.707 0.000
Ho Sc Ag
2 1 1
Direct
0.250 0.250 0.250
0.750 0.750 0.750
0.000 0.000 0.000
0.500 0.500 0.500
```



A plane-wave DFT calculation with PBE-GGA was carried out for a relaxed structure of HoSc2Ag.

Values from the calculation:
- Energy above the lowest structure with this stoichiometry: 97 meV/atom
- Final energy: -5.03 eV/atom
- SG: P4/mmm, No. 123
- Magnetization: 0.76 μB/f.u.

```
HoSc2Ag
1.0
4.471 0.000 0.000
0.000 4.471 0.000
0.000 0.000 4.739
Ho Sc Ag
1 2 1
Direct
0.000 0.000 0.000
0.000 0.500 0.500
0.500 0.000 0.500
0.500 0.500 0.000
```



A plane-wave DFT calculation with PBE-GGA was carried out for a relaxed structure of Ho2ScAg2.

Values from the calculation:
- Final energy: -4.40 eV/atom
- SG: Immm, No. 71
- Magnetization: 0.00 μB/f.u.

```
Ho2ScAg2
1.0
-2.342 3.151 4.188
2.342 -3.151 4.188
2.342 3.151 -4.188
Ho Sc Ag
2 1 2
Direct
0.203 0.203 0.000
0.797 0.797 0.000
0.500 0.000 0.500
0.221 0.500 0.721
0.779 0.500 0.279
```